#w
First-principles (PBE) data for an optimized crystal structure of U3P4Ru4, as listed in Alexandria.

Cell: 3.933 7.020 12.817 Å, 90.00 90.00 90.00°
Space group Immm (No. 71)
Inequivalent atoms, fractional coordinates:
U: 0.000 0.000 0.000 [2 per cell]
U: 0.000 0.500 0.100 [4 per cell]
P: 0.000 0.000 0.223 [4 per cell]
P: 0.000 0.222 0.500 [4 per cell]
Ru: 0.000 0.299 0.323 [8 per cell]

Summary:
**DOS(E_F)**: 28.91 states/eV/cell

=====

#x
First-principles (PBE) data for an optimized crystal structure of U3P4Ru4, as listed in Alexandria.

Cell: 8.210 3.953 11.354 Å, 90.00 90.00 90.00°
Space group Amm2 (No. 38)
Inequivalent atoms, fractional coordinates:
U: 0.000 0.000 0.000 [2 per cell]
U: 0.285 0.000 0.105 [4 per cell]
P: 0.000 0.000 0.688 [2 per cell]
P: 0.239 0.000 0.423 [4 per cell]
P: 0.500 0.000 0.715 [2 per cell]
Ru: 0.000 0.000 0.298 [2 per cell]
Ru: 0.249 0.000 0.808 [4 per cell]
Ru: 0.500 0.000 0.334 [2 per cell]

Summary:
**DOS(E_F)**: 28.14 states/eV/cell

=====

Computed stability ranking, most favorable first: #w, #x

=====

#w
First-principles (PBE) data for an optimized crystal structure of U2P2Ru, as listed in Alexandria.

Cell: 10.201 3.952 9.955 Å, 90.00 117.18 90.00°
Space group C2/m (No. 12)
Inequivalent atoms, fractional coordinates:
U: 0.074 0.000 0.356 [4 per cell]
U: 0.207 0.000 0.060 [4 per cell]
P: 0.011 0.500 0.130 [4 per cell]
P: 0.124 0.500 0.586 [4 per cell]
Ru: 0.229 0.000 0.719 [4 per cell]

Summary:
**DOS(E_F)**: 31.96 states/eV/cell

=====

#x
First-principles (PBE) data for an optimized crystal structure of U2P2Ru, as listed in Alexandria.

Cell: 3.939 14.094 6.793 Å, 90.00 90.00 90.00°
Space group Cmc2_1 (No. 36)
Inequivalent atoms, fractional coordinates:
U: 0.000 0.062 0.000 [4 per cell]
U: 0.000 0.187 0.269 [4 per cell]
P: 0.000 0.182 0.678 [4 per cell]
P: 0.000 0.453 0.787 [4 per cell]
Ru: 0.000 0.404 0.114 [4 per cell]

Summary:
**DOS(E_F)**: 28.55 states/eV/cell

=====

Computed stability ranking, most favorable first: #x, #w

=====

#w
First-principles (PBE) data for an optimized crystal structure of VP3Ru, as listed in Alexandria.

Cell: 4.444 4.444 4.444 Å, 90.00 90.00 90.00°
Space group Pm-3m (No. 221)
Inequivalent atoms, fractional coordinates:
V: 0.000 0.000 0.000 [1 per cell]
P: 0.000 0.000 0.500 [3 per cell]
Ru: 0.500 0.500 0.500 [1 per cell]

Summary:
**DOS(E_F)**: 4.77 states/eV/cell

=====

#x
First-principles (PBE) data for an optimized crystal structure of VP3Ru, as listed in Alexandria.

Cell: 4.566 4.566 4.566 Å, 90.00 90.00 90.00°
Space group Pm-3m (No. 221)
Inequivalent atoms, fractional coordinates:
V: 0.000 0.000 0.000 [1 per cell]
P: 0.000 0.500 0.500 [3 per cell]
Ru: 0.500 0.500 0.500 [1 per cell]

Summary:
**DOS(E_F)**: 4.51 states/eV/cell

=====

Computed stability ranking, most favorable first: #w, #x

=====

#w
First-principles (PBE) data for an optimized crystal structure of P3RuW, as listed in Alexandria.

Cell: 4.643 4.643 4.643 Å, 90.00 90.00 90.00°
Space group Pm-3m (No. 221)
Inequivalent atoms, fractional coordinates:
P: 0.000 0.000 0.500 [3 per cell]
Ru: 0.500 0.500 0.500 [1 per cell]
W: 0.000 0.000 0.000 [1 per cell]

Summary:
**DOS(E_F)**: 5.36 states/eV/cell

=====

#x
First-principles (PBE) data for an optimized crystal structure of P3RuW, as listed in Alexandria.

Cell: 4.489 4.489 4.489 Å, 90.00 90.00 90.00°
Space group Pm-3m (No. 221)
Inequivalent atoms, fractional coordinates:
P: 0.000 0.000 0.500 [3 per cell]
Ru: 0.000 0.000 0.000 [1 per cell]
W: 0.500 0.500 0.500 [1 per cell]

Summary:
**DOS(E_F)**: 8.88 states/eV/cell

=====

Computed stability ranking, most favorable first: #w, #x

=====

#w
First-principles (PBE) data for an optimized crystal structure of YP2Ru2, as listed in Alexandria.

Cell: 4.273 4.273 9.107 Å, 90.00 90.00 90.00°
Space group I4/mmm (No. 139)
Inequivalent atoms, fractional coordinates:
Y: 0.000 0.000 0.000 [2 per cell]
P: 0.000 0.500 0.250 [4 per cell]
Ru: 0.000 0.000 0.361 [4 per cell]

Summary:
**DOS(E_F)**: 6.08 states/eV/cell

=====

#x
First-principles (PBE) data for an optimized crystal structure of YP2Ru2, as listed in Alexandria.

Cell: 4.057 4.057 9.597 Å, 90.00 90.00 90.00°
Space group I4/mmm (No. 139)
Inequivalent atoms, fractional coordinates:
Y: 0.000 0.000 0.000 [2 per cell]
P: 0.000 0.000 0.375 [4 per cell]
Ru: 0.000 0.500 0.250 [4 per cell]

Summary:
**DOS(E_F)**: 4.34 states/eV/cell

=====

Computed stability ranking, most favorable first: #x, #w

=====

#w
First-principles (PBE) data for an optimized crystal structure of YPRu3, as listed in Alexandria.

Cell: 4.418 4.418 4.418 Å, 90.00 90.00 90.00°
Space group Pm-3m (No. 221)
Inequivalent atoms, fractional coordinates:
Y: 0.000 0.000 0.000 [1 per cell]
P: 0.500 0.500 0.500 [1 per cell]
Ru: 0.000 0.500 0.500 [3 per cell]

Summary:
**DOS(E_F)**: 2.93 states/eV/cell

=====

#x
First-principles (PBE) data for an optimized crystal structure of YPRu3, as listed in Alexandria.

Cell: 4.886 4.886 4.886 Å, 90.00 90.00 90.00°
Space group Pm-3m (No. 221)
Inequivalent atoms, fractional coordinates:
Y: 0.000 0.000 0.000 [1 per cell]
P: 0.500 0.500 0.500 [1 per cell]
Ru: 0.000 0.000 0.500 [3 per cell]

Summary:
**DOS(E_F)**: 5.65 states/eV/cell

=====

Computed stability ranking, most favorable first: #w, #x

=====

#w
First-principles (PBE) data for an optimized crystal structure of Y2PRu, as listed in Alexandria.

Cell: 6.720 6.720 6.720 Å, 90.00 90.00 90.00°
Space group F-43m (No. 216)
Inequivalent atoms, fractional coordinates:
Y: 0.000 0.000 0.000 [4 per cell]
Y: 0.250 0.250 0.250 [4 per cell]
P: 0.250 0.250 0.750 [4 per cell]
Ru: 0.000 0.000 0.500 [4 per cell]

Summary:
**DOS(E_F)**: 11.97 states/eV/cell

=====

#x
First-principles (PBE) data for an optimized crystal structure of Y2PRu, as listed in Alexandria.

Cell: 3.561 4.274 11.442 Å, 90.00 90.00 90.00°
Space group Imm2 (No. 44)
Inequivalent atoms, fractional coordinates:
Y: 0.000 0.000 0.000 [2 per cell]
Y: 0.000 0.500 0.241 [2 per cell]
P: 0.000 0.000 0.421 [2 per cell]
Ru: 0.000 0.500 0.780 [2 per cell]

Summary:
**DOS(E_F)**: 6.39 states/eV/cell

=====

Computed stability ranking, most favorable first: #x, #w

=====

#w
First-principles (PBE) data for an optimized crystal structure of Y2PRu, as listed in Alexandria.

Cell: 4.0682 4.0682 20.8126 Å, 90.00 90.00 120.00°
Space group R3m (No. 160, hexagonal axes)
Inequivalent atoms, fractional coordinates:
Y: 0.0000 0.0000 0.0000 [3 per cell]
Y: 0.0000 0.0000 0.1721 [3 per cell]
P: 0.0000 0.0000 0.4259 [3 per cell]
Ru: 0.0000 0.0000 0.7457 [3 per cell]

Summary:
**DOS(E_F)**: 12.57 states/eV/cell

=====

#x
First-principles (PBE) data for an optimized crystal structure of Y2PRu, as listed in Alexandria.

Cell: 3.7830 3.7830 21.7937 Å, 90.00 90.00 120.00°
Space group R-3m (No. 166, hexagonal axes)
Inequivalent atoms, fractional coordinates:
Y: 0.0000 0.0000 0.2453 [6 per cell]
P: 0.0000 0.0000 0.5000 [3 per cell]
Ru: 0.0000 0.0000 0.0000 [3 per cell]

Summary:
**DOS(E_F)**: 3.08 states/eV/cell

=====

#y
First-principles (PBE) data for an optimized crystal structure of Y2PRu, as listed in Alexandria.

Cell: 3.993 3.993 5.736 Å, 90.00 90.00 90.00°
Space group P4mm (No. 99)
Inequivalent atoms, fractional coordinates:
Y: 0.000 0.000 0.000 [1 per cell]
Y: 0.500 0.500 0.429 [1 per cell]
P: 0.000 0.000 0.494 [1 per cell]
Ru: 0.500 0.500 0.942 [1 per cell]

Summary:
**DOS(E_F)**: 5.13 states/eV/cell

=====

Computed stability ranking, most favorable first: #w, #x, #y